1.
Entry from Alexandria via LeMat-Bulk: La3Pr5Y12 after structural relaxation (PBE).

Cell: 16.3506 16.3506 16.3506 Å, 109.47 109.47 109.47°
With the nearest neighbours (Å) after each atom.
Element x y z (fractional)
Y 0.0887 0.1535 0.2284  2 Pr 3.17-3.34, 2 La 3.20-3.52, 1 Y 3.37
Y 0.4353 0.0749 0.3465  2 Pr 3.17-3.34, 2 La 3.20-3.52, 1 Y 3.37
Y 0.0647 0.1535 0.4251  2 Pr 3.17-3.34, 2 La 3.20-3.52, 1 Y 3.37
Y 0.5647 0.6397 0.4113  2 Pr 3.17-3.34, 2 La 3.20-3.52, 1 Y 3.37
Y 0.4113 0.2716 0.3465  2 Pr 3.17-3.34, 2 La 3.20-3.52, 1 Y 3.37
Y 0.9251 0.5647 0.1535  2 Pr 3.17-3.34, 2 La 3.20-3.52, 1 Y 3.37
Y 0.9113 0.8465 0.7716  2 Pr 3.17-3.34, 2 La 3.20-3.52, 1 Y 3.37
Y 0.9113 0.0647 0.6397  2 Pr 3.17-3.34, 2 La 3.20-3.52, 1 Y 3.37
Y 0.4113 0.1397 0.5647  2 Pr 3.17-3.34, 2 La 3.20-3.52, 1 Y 3.37
Y 0.3603 0.4353 0.0887  2 Pr 3.17-3.34, 2 La 3.20-3.52, 1 Y 3.37
Y 0.8603 0.2716 0.4251  2 Pr 3.17-3.34, 2 La 3.20-3.52, 1 Y 3.37
Y 0.2716 0.4113 0.8465  2 Pr 3.17-3.34, 2 La 3.20-3.52, 1 Y 3.37
Y 0.2716 0.8603 0.9251  2 Pr 3.17-3.34, 2 La 3.20-3.52, 1 Y 3.37
Y 0.5647 0.9251 0.6535  2 Pr 3.17-3.34, 2 La 3.20-3.52, 1 Y 3.37
Y 0.0887 0.9353 0.3603  2 Pr 3.17-3.34, 2 La 3.20-3.52, 1 Y 3.37
Y 0.4353 0.3603 0.5887  2 Pr 3.17-3.34, 2 La 3.20-3.52, 1 Y 3.37
Y 0.1397 0.7284 0.5749  2 Pr 3.17-3.34, 2 La 3.20-3.52, 1 Y 3.37
Y 0.3465 0.5749 0.4353  2 Pr 3.17-3.34, 2 La 3.20-3.52, 1 Y 3.37
Y 0.6397 0.0749 0.2284  2 Pr 3.17-3.34, 2 La 3.20-3.52, 1 Y 3.37
Y 0.9353 0.8465 0.5749  2 Pr 3.17-3.34, 2 La 3.20-3.52, 1 Y 3.37
Y 0.9353 0.0887 0.8603  2 Pr 3.17-3.34, 2 La 3.20-3.52, 1 Y 3.37
Y 0.9251 0.3603 0.2716  2 Pr 3.17-3.34, 2 La 3.20-3.52, 1 Y 3.37
Y 0.5749 0.2284 0.1397  2 Pr 3.17-3.34, 2 La 3.20-3.52, 1 Y 3.37
Y 0.1535 0.0887 0.7284  2 Pr 3.17-3.34, 2 La 3.20-3.52, 1 Y 3.37
Y 0.0749 0.6397 0.7284  2 Pr 3.17-3.34, 2 La 3.20-3.52, 1 Y 3.37
Y 0.4251 0.7716 0.8603  2 Pr 3.17-3.34, 2 La 3.20-3.52, 1 Y 3.37
Y 0.3465 0.7716 0.4113  2 Pr 3.17-3.34, 2 La 3.20-3.52, 1 Y 3.37
Y 0.5887 0.8603 0.4353  2 Pr 3.17-3.34, 2 La 3.20-3.52, 1 Y 3.37
Y 0.6535 0.4251 0.5647  2 Pr 3.17-3.34, 2 La 3.20-3.52, 1 Y 3.37
Y 0.2284 0.6535 0.0887  2 Pr 3.17-3.34, 2 La 3.20-3.52, 1 Y 3.37
Y 0.2284 0.5749 0.6397  2 Pr 3.17-3.34, 2 La 3.20-3.52, 1 Y 3.37
Y 0.7716 0.3465 0.9113  2 Pr 3.17-3.34, 2 La 3.20-3.52, 1 Y 3.37
Y 0.8603 0.5887 0.9353  2 Pr 3.17-3.34, 2 La 3.20-3.52, 1 Y 3.37
Y 0.8465 0.9353 0.0749  2 Pr 3.17-3.34, 2 La 3.20-3.52, 1 Y 3.37
Y 0.4251 0.6535 0.0647  2 Pr 3.17-3.34, 2 La 3.20-3.52, 1 Y 3.37
Y 0.1397 0.4113 0.0647  2 Pr 3.17-3.34, 2 La 3.20-3.52, 1 Y 3.37
Y 0.7284 0.5887 0.1535  2 Pr 3.17-3.34, 2 La 3.20-3.52, 1 Y 3.37
Y 0.8465 0.9113 0.2716  2 Pr 3.17-3.34, 2 La 3.20-3.52, 1 Y 3.37
Y 0.0749 0.4353 0.8465  2 Pr 3.17-3.34, 2 La 3.20-3.52, 1 Y 3.37
Y 0.5749 0.3465 0.9353  2 Pr 3.17-3.34, 2 La 3.20-3.52, 1 Y 3.37
Y 0.6397 0.5647 0.9113  2 Pr 3.17-3.34, 2 La 3.20-3.52, 1 Y 3.37
Y 0.3603 0.9251 0.7716  2 Pr 3.17-3.34, 2 La 3.20-3.52, 1 Y 3.37
Y 0.5887 0.7284 0.6535  2 Pr 3.17-3.34, 2 La 3.20-3.52, 1 Y 3.37
Y 0.6535 0.2284 0.5887  2 Pr 3.17-3.34, 2 La 3.20-3.52, 1 Y 3.37
Y 0.0647 0.9113 0.1397  2 Pr 3.17-3.34, 2 La 3.20-3.52, 1 Y 3.37
Y 0.7716 0.4251 0.3603  2 Pr 3.17-3.34, 2 La 3.20-3.52, 1 Y 3.37
Y 0.1535 0.0647 0.9251  2 Pr 3.17-3.34, 2 La 3.20-3.52, 1 Y 3.37
Y 0.7284 0.1397 0.0749  2 Pr 3.17-3.34, 2 La 3.20-3.52, 1 Y 3.37
Pr 0.5000 0.0000 0.0000  6 Y 3.17
Pr 0.3750 0.2500 0.1250  4 Y 3.34
Pr 0.2500 0.8750 0.1250  4 Y 3.34
Pr 0.0000 0.5000 0.5000  6 Y 3.17
Pr 0.2500 0.3750 0.6250  4 Y 3.34
Pr 0.1250 0.3750 0.2500  4 Y 3.34
Pr 0.7500 0.6250 0.3750  4 Y 3.34
Pr 0.3750 0.1250 0.7500  4 Y 3.34
Pr 0.6250 0.8750 0.2500  4 Y 3.34
Pr 0.0000 0.0000 0.5000  6 Y 3.17
Pr 0.6250 0.7500 0.8750  4 Y 3.34
Pr 0.5000 0.0000 0.5000  6 Y 3.17
Pr 0.0000 0.5000 0.0000  6 Y 3.17
Pr 0.8750 0.6250 0.7500  4 Y 3.34
Pr 0.5000 0.5000 0.5000  6 Y 3.17
Pr 0.0000 0.0000 0.0000  6 Y 3.17
Pr 0.8750 0.2500 0.6250  4 Y 3.34
Pr 0.5000 0.5000 0.0000  6 Y 3.17
Pr 0.7500 0.1250 0.8750  4 Y 3.34
Pr 0.1250 0.7500 0.3750  4 Y 3.34
La 0.7500 0.8750 0.6250  8 Y 3.20-3.52
La 0.8750 0.7500 0.1250  8 Y 3.20-3.52
La 0.6250 0.3750 0.7500  8 Y 3.20-3.52
La 0.3750 0.7500 0.6250  8 Y 3.20-3.52
La 0.1250 0.2500 0.8750  8 Y 3.20-3.52
La 0.7500 0.3750 0.1250  8 Y 3.20-3.52
La 0.8750 0.1250 0.2500  8 Y 3.20-3.52
La 0.6250 0.2500 0.3750  8 Y 3.20-3.52
La 0.2500 0.1250 0.3750  8 Y 3.20-3.52
La 0.3750 0.6250 0.2500  8 Y 3.20-3.52
La 0.1250 0.8750 0.7500  8 Y 3.20-3.52
La 0.2500 0.6250 0.8750  8 Y 3.20-3.52

Computed properties:
The calculation puts the total magnetization at 0.000 μB/atom. For the total energy, the calculation gives -4.7804 eV/atom.

2.
Entry from Alexandria via LeMat-Bulk: LaPr2Y2 after structural relaxation (PBE).

Cell: 5.9436 7.1768 9.5444 Å, 112.08 108.14 90.00°
With the nearest neighbours (Å) after each atom.
Element x y z (fractional)
Pr 0.8088 0.3144 0.1177  4 Pr 3.51-3.67, 5 Y 3.65-3.73, 3 La 3.72
Pr 0.1912 0.6856 0.8823  4 Pr 3.51-3.67, 5 Y 3.65-3.73, 3 La 3.72
Pr 0.1911 0.1967 0.8823  4 Pr 3.51-3.67, 5 Y 3.65-3.73, 3 La 3.72
Pr 0.8088 0.8033 0.1177  4 Pr 3.51-3.67, 5 Y 3.65-3.73, 3 La 3.72
Y 0.0021 0.7521 0.5041  2 La 3.51, 4 Y 3.52-3.59, 4 Pr 3.65-3.67
Y 0.3885 0.6385 0.2771  2 Y 3.52, 3 La 3.59-3.76, 6 Pr 3.70-3.73
Y 0.6115 0.3615 0.7229  2 Y 3.52, 3 La 3.59-3.76, 6 Pr 3.70-3.73
Y 0.9979 0.2479 0.4959  2 La 3.51, 4 Y 3.52-3.59, 4 Pr 3.65-3.67
La 0.6145 0.8645 0.7289  5 Y 3.51-3.76, 6 Pr 3.72
La 0.3855 0.1355 0.2711  5 Y 3.51-3.76, 6 Pr 3.72

Computed properties:
The calculation puts the total magnetization at 0.000 μB/atom. The excess energy over the best structure of this formula in the dataset comes out at 36 meV/atom.

3.
Entry from Alexandria via LeMat-Bulk: LaPr4Y15 after structural relaxation (PBE).

Cell: 5.1261 5.1261 25.4691 Å, 90.00 90.00 90.00°
With the nearest neighbours (Å) after each atom.
Element x y z (fractional)
Y 0.5000 0.5000 0.2005  8 Y 3.61, 4 Pr 3.62
Y 0.0000 0.5000 0.3003  8 Y 3.61-3.62, 4 Pr 3.61-3.62
Y 0.5000 0.0000 0.1008  2 Pr 3.60, 8 Y 3.61-3.63, 2 La 3.63
Y 0.5000 0.5000 0.4001  8 Y 3.61, 4 Pr 3.62
Y 0.5000 0.0000 0.8992  2 Pr 3.60, 8 Y 3.61-3.63, 2 La 3.63
Y 0.0000 0.5000 0.1008  2 Pr 3.60, 8 Y 3.61-3.63, 2 La 3.63
Y 0.0000 0.5000 0.6997  8 Y 3.61-3.62, 4 Pr 3.61-3.62
Y 0.5000 0.0000 0.6997  8 Y 3.61-3.62, 4 Pr 3.61-3.62
Y 0.5000 0.5000 0.7995  8 Y 3.61, 4 Pr 3.62
Y 0.0000 0.5000 0.5000  4 Pr 3.61, 8 Y 3.61-3.62
Y 0.5000 0.5000 0.0000  4 La 3.62, 8 Y 3.63
Y 0.5000 0.0000 0.5000  4 Pr 3.61, 8 Y 3.61-3.62
Y 0.5000 0.5000 0.5999  8 Y 3.61, 4 Pr 3.62
Y 0.0000 0.5000 0.8992  2 Pr 3.60, 8 Y 3.61-3.63, 2 La 3.63
Y 0.5000 0.0000 0.3003  8 Y 3.61-3.62, 4 Pr 3.61-3.62
Pr 0.0000 0.0000 0.5999  12 Y 3.61-3.62
Pr 0.0000 0.0000 0.2000  12 Y 3.60-3.62
Pr 0.0000 0.0000 0.4001  12 Y 3.61-3.62
Pr 0.0000 0.0000 0.8000  12 Y 3.60-3.62
La 0.0000 0.0000 0.0000  12 Y 3.62-3.63

Computed properties:
The calculation puts the total magnetization at 0.000 μB/atom. For the total energy, the calculation gives -6.0280 eV/atom.

4.
Entry from Alexandria via LeMat-Bulk: LaPr2Y9 after structural relaxation (PBE).

Cell: 5.1077 5.1077 15.3256 Å, 90.00 90.00 90.00°
With the nearest neighbours (Å) after each atom.
Element x y z (fractional)
Y 0.5000 0.0000 0.8319  2 Pr 3.59, 8 Y 3.61-3.63, 2 La 3.63
Y 0.5000 0.0000 0.1681  2 Pr 3.59, 8 Y 3.61-3.63, 2 La 3.63
Y 0.5000 0.0000 0.5000  8 Y 3.60-3.61, 4 Pr 3.61
Y 0.0000 0.5000 0.8319  2 Pr 3.59, 8 Y 3.61-3.63, 2 La 3.63
Y 0.5000 0.5000 0.6658  8 Y 3.60-3.61, 4 Pr 3.61
Y 0.5000 0.5000 0.3342  8 Y 3.60-3.61, 4 Pr 3.61
Y 0.5000 0.5000 0.0000  4 La 3.61, 8 Y 3.63
Y 0.0000 0.5000 0.5000  8 Y 3.60-3.61, 4 Pr 3.61
Y 0.0000 0.5000 0.1681  2 Pr 3.59, 8 Y 3.61-3.63, 2 La 3.63
Pr 0.0000 0.0000 0.3331  12 Y 3.59-3.61
Pr 0.0000 0.0000 0.6669  12 Y 3.59-3.61
La 0.0000 0.0000 0.0000  12 Y 3.61-3.63

Computed properties:
The calculation puts the total magnetization at 0.000 μB/atom. For the total energy, the calculation gives -6.0297 eV/atom.